Record 1
This record from Alexandria describes an optimized crystal structure of LaCe2Ho. The functional is GGA-PBE.

POSCAR file:
```
LaCe2Ho
1.0
3.4821 0.0000 0.0000
0.0000 3.4821 0.0000
0.0000 0.0000 10.1389
Ce Ho La
2 1 1
direct
0.0000 0.0000 0.2485 Ce
0.0000 0.0000 0.7515 Ce
0.5000 0.5000 0.0000 Ho
0.5000 0.5000 0.5000 La
```

Properties
As for the crystal system: tetragonal. The energy of formation from the pure elements comes out at 0.112 eV per atom. Its space-group type is P4/mmm (123). The energy above the lowest structure with this stoichiometry comes out at 13.2 meV/atom. The calculation puts the total moment at 1.24 Bohr magnetons per cell. As for the energy: -5.232 eV per atom.

Record 2
This record from Alexandria describes an optimized crystal structure of KZnClF2. The functional is GGA-PBE.

POSCAR file:
```
KZnClF2
1.0
4.2229 0.0000 0.0000
0.0000 4.2229 0.0000
0.0000 0.0000 4.8884
F Cl K Zn
2 1 1 1
direct
0.5000 0.0000 0.0000 F
0.0000 0.5000 0.0000 F
0.0000 0.0000 0.5000 Cl
0.5000 0.5000 0.5000 K
0.0000 0.0000 0.0000 Zn
```

Properties
As for the crystal system: tetragonal. Its space-group type is P4/mmm (123). The energy above the lowest structure with this stoichiometry comes out at 26.5 meV/atom. The calculation puts the total moment at 0.00 Bohr magnetons per cell. Its formation energy from raw total energies is -2113.2 meV per atom. As for the energy: -3.705 eV per atom.